Material: Dy2PuIn3Hg6
Method: DFT, PBE
State: optimized geometry

a = 4.319 Å, b = 4.319 Å, c = 16.784 Å
α = 90.00°, β = 90.00°, γ = 90.00°
Site moments in Bohr magnetons follow the coordinates.
Element x y z (fractional)
1 Dy 0.500 0.500 0.115  -0.01
2 Dy 0.500 0.500 0.885  -0.01
3 Pu 0.500 0.500 0.500  -5.66
4 In 0.000 0.000 0.414  -0.05
5 In 0.000 0.000 0.586  -0.05
6 In 0.000 0.000 0.000  0.00
7 Hg 0.000 0.500 0.292  -0.01
8 Hg 0.500 0.000 0.708  -0.01
9 Hg 0.500 0.000 0.292  -0.01
10 Hg 0.000 0.000 0.167  0.00
11 Hg 0.000 0.500 0.708  -0.01
12 Hg 0.000 0.000 0.833  0.00

## Properties
- space-group type = P4/mmm, No. 123
- DFT formation energy (eV/atom) = -0.08